No. 1
Here is a geometry-optimized Ce5Bi5C structure from Alexandria. Energies are from PBE.

Summary:
Its space group is C2/m, No. 12. For the formation energy, the calculation gives -0.368 eV/atom.

```
data_Ce5Bi5C
_cell_length_a 6.187
_cell_length_b 7.203
_cell_length_c 9.560
_cell_angle_alpha 113.95
_cell_angle_beta 90.00
_cell_angle_gamma 115.43
_symmetry_space_group_name_H-M 'P 1'
_symmetry_Int_Tables_number 1
loop_
_symmetry_equiv_pos_as_xyz
'x,y,z'
loop_
_atom_site_label
_atom_site_type_symbol
_atom_site_fract_x
_atom_site_fract_y
_atom_site_fract_z
Bi1 Bi 0.000 0.000 0.500
Bi2 Bi 0.720 0.439 0.341
Bi3 Bi 0.611 0.222 0.765
Bi4 Bi 0.280 0.561 0.659
Bi5 Bi 0.389 0.778 0.235
Ce1 Ce 0.500 0.000 0.000
Ce2 Ce 0.152 0.303 0.277
Ce3 Ce 0.848 0.697 0.723
Ce4 Ce 0.854 0.708 0.108
Ce5 Ce 0.146 0.292 0.892
C1 C 0.000 0.000 0.000
```

No. 2
Here is a geometry-optimized Ho3Er3CuTc2 structure from Alexandria. Energies are from PBE.

Summary:
Its space group is P-62m, No. 189. For the formation energy, the calculation gives -0.040 eV/atom.

```
data_Ho3Er3CuTc2
_cell_length_a 3.844
_cell_length_b 7.984
_cell_length_c 7.984
_cell_angle_alpha 120.00
_cell_angle_beta 90.00
_cell_angle_gamma 90.00
_symmetry_space_group_name_H-M 'P 1'
_symmetry_Int_Tables_number 1
loop_
_symmetry_equiv_pos_as_xyz
'x,y,z'
loop_
_atom_site_label
_atom_site_type_symbol
_atom_site_fract_x
_atom_site_fract_y
_atom_site_fract_z
Ho1 Ho 0.500 0.737 0.000
Ho2 Ho 0.500 0.000 0.737
Ho3 Ho 0.500 0.263 0.263
Cu1 Cu 0.000 0.000 0.000
Tc1 Tc 0.500 0.667 0.333
Tc2 Tc 0.500 0.333 0.667
Er1 Er 0.000 0.592 0.592
Er2 Er 0.000 0.408 0.000
Er3 Er 0.000 0.000 0.408
```

No. 3
Here is a geometry-optimized PuCuN2 structure from Alexandria. Energies are from PBE.

Summary:
Its space group is R-3m, No. 166. The calculation puts the uncorrected formation energy at -0.597 eV per atom.

```
data_PuCuN2
_cell_length_a 3.542
_cell_length_b 3.542
_cell_length_c 5.898
_cell_angle_alpha 72.53
_cell_angle_beta 72.53
_cell_angle_gamma 60.00
_symmetry_space_group_name_H-M 'P 1'
_symmetry_Int_Tables_number 1
loop_
_symmetry_equiv_pos_as_xyz
'x,y,z'
loop_
_atom_site_label
_atom_site_type_symbol
_atom_site_fract_x
_atom_site_fract_y
_atom_site_fract_z
Pu1 Pu 0.500 0.500 0.500
N1 N 0.890 0.890 0.331
N2 N 0.110 0.110 0.669
Cu1 Cu 0.000 0.000 0.000
```

No. 4
Here is a geometry-optimized TmNbC2 structure from Alexandria. Energies are from PBE.

Summary:
Its space group is R-3m, No. 166. For the formation energy, the calculation gives -0.475 eV/atom.

```
data_TmNbC2
_cell_length_a 3.291
_cell_length_b 3.291
_cell_length_c 5.843
_cell_angle_alpha 73.64
_cell_angle_beta 73.64
_cell_angle_gamma 60.00
_symmetry_space_group_name_H-M 'P 1'
_symmetry_Int_Tables_number 1
loop_
_symmetry_equiv_pos_as_xyz
'x,y,z'
loop_
_atom_site_label
_atom_site_type_symbol
_atom_site_fract_x
_atom_site_fract_y
_atom_site_fract_z
C1 C 0.258 0.258 0.225
C2 C 0.742 0.742 0.775
Tm1 Tm 0.500 0.500 0.500
Nb1 Nb 0.000 0.000 0.000
```